[1]
VASP calculation (PBE) on crystalline Dy2TeH4 at its relaxed geometry.

Computed properties:
- Energy: -4.515 eV/atom
- Crystal system: trigonal

a b c (Å): 3.8295 3.8295 7.8380
angles (deg): 75.86 75.86 60.00
Closest atoms and distances in Å follow each position.
Fractional positions:
Dy  0.7636  0.7636  0.7091  7 H 2.21-2.40
Dy  0.2364  0.2364  0.2908  7 H 2.21-2.40
H  0.1378  0.1378  0.5867  4 Dy 2.22-2.40, 3 H 2.35
H  0.4356  0.4356  0.6933  3 Dy 2.21, 3 H 2.35
H  0.8622  0.8622  0.4133  4 Dy 2.22-2.40, 3 H 2.35
H  0.5644  0.5644  0.3067  3 Dy 2.21, 3 H 2.35
Te  0.0000  0.0000  0.0000  8 H 3.11-3.19, 6 Dy 3.11

---

[2]
VASP calculation (PBE) on crystalline Pm2Sc3Te6 at its relaxed geometry.

Computed properties:
- Fermi-level density of states: 0.58 states/eV/atom
- Crystal system: monoclinic
- ΔE_f (raw): -1.31 eV per atom

a b c (Å): 7.3854 7.3603 7.4531
angles (deg): 80.41 70.61 59.89
Closest atoms and distances in Å follow each position.
Fractional positions:
Te  0.2690  0.0000  0.2325  3 Sc 2.97-3.04, 2 Pm 3.11
Te  0.5867  0.3198  0.2370  3 Sc 2.93-2.99, 2 Pm 3.13
Te  0.9065  0.6802  0.2370  3 Sc 2.93-2.99, 2 Pm 3.13
Te  0.4133  0.6802  0.7630  3 Sc 2.93-2.99, 2 Pm 3.13
Te  0.7310  0.0000  0.7675  3 Sc 2.97-3.04, 2 Pm 3.11
Te  0.0935  0.3198  0.7630  3 Sc 2.93-2.99, 2 Pm 3.13
Sc  0.6730  0.6540  0.0000  6 Te 2.93-2.99
Sc  0.3270  0.3460  0.0000  6 Te 2.93-2.99
Sc  0.0000  0.0000  0.0000  6 Te 2.93-3.04
Pm  0.8359  0.3282  0.5000  6 Te 3.11-3.13
Pm  0.1641  0.6718  0.5000  6 Te 3.11-3.13

---

[3]
VASP calculation (PBE) on crystalline PuHf5Zr2 at its relaxed geometry.

Computed properties:
- Fermi-level density of states: 1.46 states/eV/atom
- Energy: -10.097 eV/atom
- Crystal system: triclinic

a b c (Å): 3.1380 11.2783 13.8390
angles (deg): 115.21 55.46 106.17
Closest atoms and distances in Å follow each position.
Fractional positions:
Hf  0.5310  0.3938  0.0452  8 Hf 3.05-3.23, 2 Zr 3.19, 2 Pu 3.21-3.22
Hf  0.9875  0.8863  0.6597  1 Pu 3.12, 6 Hf 3.14-3.25, 6 Zr 3.28-3.37
Hf  0.1907  0.3645  0.7693  7 Hf 3.05-3.18, 1 Pu 3.07, 4 Zr 3.13-3.30
Hf  0.7027  0.6332  0.4724  1 Zr 3.00, 7 Hf 3.14-3.25, 4 Pu 3.21-3.27
Hf  0.8093  0.6355  0.2307  7 Hf 3.05-3.18, 1 Pu 3.07, 4 Zr 3.13-3.30
Hf  0.1347  0.1224  0.0950  3 Zr 3.11-3.16, 7 Hf 3.14-3.24, 2 Pu 3.27
Hf  0.4690  0.6062  0.9548  8 Hf 3.05-3.23, 2 Zr 3.19, 2 Pu 3.21-3.22
Hf  0.2973  0.3668  0.5276  1 Zr 3.00, 7 Hf 3.14-3.25, 4 Pu 3.21-3.27
Hf  0.0125  0.1137  0.3403  1 Pu 3.12, 6 Hf 3.14-3.25, 6 Zr 3.28-3.37
Hf  0.8653  0.8776  0.9050  3 Zr 3.11-3.16, 7 Hf 3.14-3.24, 2 Pu 3.27
Zr  0.8836  0.1218  0.5951  2 Zr 2.79-2.97, 1 Hf 3.00
Zr  0.2391  0.1467  0.8631  3 Zr 2.97-3.14, 7 Hf 3.11-3.30
Zr  0.7609  0.8533  0.1369  3 Zr 2.97-3.14, 7 Hf 3.11-3.30
Zr  0.1164  0.8782  0.4049  2 Zr 2.79-2.97, 1 Hf 3.00
Pu  0.4138  0.3767  0.2853  10 Hf 3.07-3.27, 2 Pu 3.14
Pu  0.5862  0.6233  0.7147  10 Hf 3.07-3.27, 2 Pu 3.14